Entry from the Alexandria database: a geometry-optimized NaLi3Bi structure (PBE).

Properties
Energy above the most stable polymorph in this dataset, eV/atom: 0.392
Formation energy, eV per atom: 0.17
Magnetic moment, μB per formula unit: 0.00
V, Å³ per cell: 117.5
Space group: Pm-3m, No. 221

Cell and atoms, written as POSCAR:
```
NaLi3Bi
1.0
-3.254 3.507 -1.052
-2.380 -3.095 -2.958
-2.783 -1.454 3.760
Na Bi Li
1 1 3
Cartesian
0.000 0.000 0.000
-4.208 -0.521 -0.125
-1.190 -1.548 -1.479
-1.391 -0.727 1.880
-1.627 1.754 -0.526
```